# Pr8PdPt5, relaxed, DFT GGA-PBE
data_Pr8PdPt5
_cell_length_a 7.883
_cell_length_b 7.883
_cell_length_c 7.883
_cell_angle_alpha 109.43
_cell_angle_beta 109.55
_cell_angle_gamma 109.43
_space_group_name_H-M_alt 'P 1'
_space_group_IT_number 1
loop_
_space_group_symop_operation_xyz
'x,y,z'
loop_
_atom_site_label
_atom_site_type_symbol
_atom_site_fract_x
_atom_site_fract_y
_atom_site_fract_z
_atom_site_occupancy
Pr1 Pr 0.127 0.753 0.998 1
Pr2 Pr 0.002 0.129 0.755 1
Pr3 Pr 0.740 0.246 0.370 1
Pr4 Pr 0.630 0.371 0.877 1
Pr5 Pr 0.506 0.629 0.260 1
Pr6 Pr 0.626 0.871 0.873 1
Pr7 Pr 0.245 0.247 0.374 1
Pr8 Pr 0.123 0.754 0.494 1
Pd1 Pd 0.250 0.500 0.750 1
Pt1 Pt 0.004 0.377 0.128 1
Pt2 Pt 0.872 0.876 0.249 1
Pt3 Pt 0.751 0.623 0.627 1
Pt4 Pt 0.500 0.000 0.500 1
Pt5 Pt 0.373 0.124 0.996 1
# - symmetry = No. 82
# - E (eV per cell) = -86.12
# - formation enthalpy at 0 K (eV per atom) = -0.89